Entry 1:
This record from Alexandria via LeMat-Bulk describes a relaxed K3CdNi crystal. The functional is PBE-GGA.

Unit cell a=6.1293 b=6.1293 c=6.1293 alpha=90.00 beta=90.00 gamma=90.00
Closest atoms and distances in Å follow each position.
Fractional coordinates of all 5 atoms:
1 Ni 0.0000 0.0000 0.0000  6 K 3.06
2 K 0.0000 0.5000 0.0000  2 Ni 3.06
3 K 0.0000 0.0000 0.5000  2 Ni 3.06
4 K 0.5000 0.0000 0.0000  2 Ni 3.06
5 Cd 0.5000 0.5000 0.5000  12 K 4.33

Values from the calculation:
ΔE to the lowest computed polymorph: 0 meV/atom

---

Entry 2:
This record from Alexandria via LeMat-Bulk describes a relaxed CdB2PdC crystal. The functional is PBE-GGA.

Unit cell a=4.1299 b=4.2489 c=4.1299 alpha=90.00 beta=90.00 gamma=90.00
Closest atoms and distances in Å follow each position.
Fractional coordinates of all 5 atoms:
1 C 0.0000 0.5000 0.0000  2 Pd 2.12
2 B 0.0000 0.0000 0.5000  2 Pd 2.06
3 B 0.5000 0.0000 0.0000  2 Pd 2.06
4 Pd 0.0000 0.0000 0.0000  4 B 2.06, 2 C 2.12
5 Cd 0.5000 0.5000 0.5000  4 C 2.92, 8 B 2.96

Values from the calculation:
final energy: -0.144 Ha/atom

---

Entry 3:
This record from Alexandria via LeMat-Bulk describes a relaxed Pu2Si3IrPt12 crystal. The functional is PBE-GGA.

Unit cell a=7.6966 b=7.6966 c=7.6966 alpha=63.87 beta=63.87 gamma=63.87
Closest atoms and distances in Å follow each position.
Fractional coordinates of all 18 atoms:
1 Pu 0.6136 0.6136 0.6136  6 Pt 2.81-2.86
2 Pu 0.3864 0.3864 0.3864  6 Pt 2.81-2.86
3 Si 0.5000 0.0000 0.0000  6 Pt 2.35-2.38
4 Si 0.0000 0.5000 0.0000  6 Pt 2.35-2.38
5 Si 0.0000 0.0000 0.5000  6 Pt 2.35-2.38
6 Ir 0.0000 0.0000 0.0000  6 Pt 2.54
7 Pt 0.3604 0.3604 0.8927  2 Si 2.38
8 Pt 0.8652 0.8652 0.3844  1 Si 2.35, 1 Ir 2.54
9 Pt 0.3844 0.8652 0.8652  1 Si 2.35, 1 Ir 2.54
10 Pt 0.8927 0.3604 0.3604  2 Si 2.38
11 Pt 0.8652 0.3844 0.8652  1 Si 2.35, 1 Ir 2.54
12 Pt 0.3604 0.8927 0.3604  2 Si 2.38
13 Pt 0.6396 0.6396 0.1073  2 Si 2.38
14 Pt 0.1348 0.1348 0.6156  1 Si 2.35, 1 Ir 2.54
15 Pt 0.6156 0.1348 0.1348  1 Si 2.35, 1 Ir 2.54
16 Pt 0.1073 0.6396 0.6396  2 Si 2.38
17 Pt 0.1348 0.6156 0.1348  1 Si 2.35, 1 Ir 2.54
18 Pt 0.6396 0.1073 0.6396  2 Si 2.38

Values from the calculation:
formation energy without anion corrections: -0.2895 eV per atom

---

Entry 4:
This record from Alexandria via LeMat-Bulk describes a relaxed FeGeRu2Pt crystal. The functional is PBE-GGA.

Unit cell a=4.3345 b=4.6855 c=4.3345 alpha=90.00 beta=90.00 gamma=90.00
Closest atoms and distances in Å follow each position.
Fractional coordinates of all 5 atoms:
1 Ru 0.0000 0.0000 0.5000  2 Fe 2.17
2 Ru 0.5000 0.0000 0.0000  2 Fe 2.17
3 Ge 0.5000 0.5000 0.5000  4 Pt 3.06, 8 Ru 3.19
4 Fe 0.0000 0.0000 0.0000  4 Ru 2.17, 2 Pt 2.34
5 Pt 0.0000 0.5000 0.0000  2 Fe 2.34

Values from the calculation:
final energy: -0.235 Ha/atom

---

Entry 5:
This record from Alexandria via LeMat-Bulk describes a relaxed AcEuBi crystal. The functional is PBE-GGA.

Unit cell a=4.3863 b=4.3863 c=6.5303 alpha=109.62 beta=109.62 gamma=90.00
Closest atoms and distances in Å follow each position.
Fractional coordinates of all 3 atoms:
1 Eu 0.6358 0.6358 0.2717  1 Ac 3.44, 4 Bi 3.51
2 Ac 0.9348 0.9348 0.8697  1 Eu 3.44, 4 Bi 3.58
3 Bi 0.2793 0.2793 0.5587  4 Eu 3.51, 4 Ac 3.58

Values from the calculation:
ΔE to the lowest computed polymorph: 0 meV/atom

---

Entry 6:
This record from Alexandria via LeMat-Bulk describes a relaxed GeWIN2 crystal. The functional is PBE-GGA.

Unit cell a=4.0273 b=4.0273 c=5.6615 alpha=90.00 beta=90.00 gamma=90.00
Closest atoms and distances in Å follow each position.
Fractional coordinates of all 5 atoms:
1 I 0.0000 0.0000 0.5000  2 W 2.83, 4 Ge 2.85
2 Ge 0.5000 0.5000 0.5000  4 I 2.85
3 W 0.0000 0.0000 0.0000  4 N 2.01
4 N 0.0000 0.5000 0.0000  2 W 2.01
5 N 0.5000 0.0000 0.0000  2 W 2.01

Values from the calculation:
ΔE to the lowest computed polymorph: 0 meV/atom
formation energy without anion corrections: 0.7822 eV per atom

---

Entry 7:
This record from Alexandria via LeMat-Bulk describes a relaxed PaFe2Cu crystal. The functional is PBE-GGA.

Unit cell a=3.5765 b=4.0103 c=4.0103 alpha=90.00 beta=90.00 gamma=90.00
Closest atoms and distances in Å follow each position.
Fractional coordinates of all 4 atoms:
1 Pa 0.5000 0.5000 0.5000  8 Fe 2.69, 4 Cu 2.84
2 Fe 0.0000 0.0000 0.5000  4 Pa 2.69, 4 Cu 2.69, 4 Fe 2.84
3 Fe 0.0000 0.5000 0.0000  4 Pa 2.69, 4 Cu 2.69, 4 Fe 2.84
4 Cu 0.5000 0.0000 0.0000  8 Fe 2.69, 4 Pa 2.84

Values from the calculation:
ΔE to the lowest computed polymorph: 60 meV/atom

---

Entry 8:
This record from Alexandria via LeMat-Bulk describes a relaxed Tb4Pr3Tl crystal. The functional is PBE-GGA.

Unit cell a=6.6632 b=6.9492 c=11.2831 alpha=90.00 beta=90.00 gamma=90.00
Closest atoms and distances in Å follow each position.
Fractional coordinates of all 16 atoms:
1 Tb 0.2715 0.6704 0.0000  1 Tl 3.31, 4 Pr 3.41-3.54, 2 Tb 3.48-3.59
2 Tb 0.3698 0.1624 0.0000  1 Tl 3.31, 3 Pr 3.48-3.53, 6 Tb 3.48-3.61
3 Tb 0.0009 0.0835 0.2286  1 Tl 3.21, 3 Pr 3.48-3.59, 2 Tb 3.56
4 Tb 0.5009 0.9165 0.2714  1 Tl 3.21, 3 Pr 3.48-3.59, 2 Tb 3.56
5 Tb 0.8698 0.8376 0.5000  1 Tl 3.31, 3 Pr 3.48-3.53, 6 Tb 3.48-3.61
6 Tb 0.7715 0.3296 0.5000  1 Tl 3.31, 4 Pr 3.41-3.54, 2 Tb 3.48-3.59
7 Tb 0.5009 0.9165 0.7286  1 Tl 3.21, 3 Pr 3.48-3.59, 2 Tb 3.56
8 Tb 0.0009 0.0835 0.7714  1 Tl 3.21, 3 Pr 3.48-3.59, 2 Tb 3.56
9 Pr 0.7659 0.8254 0.0000  7 Tb 3.47-3.59, 2 Tl 3.48-3.73, 2 Pr 3.88
10 Pr 0.0981 0.5686 0.2776  1 Tl 3.31, 5 Tb 3.41-3.68, 2 Pr 3.52
11 Pr 0.5981 0.4314 0.2224  1 Tl 3.31, 5 Tb 3.41-3.68, 2 Pr 3.52
12 Pr 0.2659 0.1746 0.5000  7 Tb 3.47-3.59, 2 Tl 3.48-3.73, 2 Pr 3.88
13 Pr 0.5981 0.4314 0.7776  1 Tl 3.31, 5 Tb 3.41-3.68, 2 Pr 3.52
14 Pr 0.0981 0.5686 0.7224  1 Tl 3.31, 5 Tb 3.41-3.68, 2 Pr 3.52
15 Tl 0.9100 0.3444 0.0000  4 Tb 3.21-3.31, 3 Pr 3.31-3.48
16 Tl 0.4100 0.6556 0.5000  4 Tb 3.21-3.31, 3 Pr 3.31-3.48

Values from the calculation:
ΔE to the lowest computed polymorph: 0 meV/atom

---

Entry 9:
This record from Alexandria via LeMat-Bulk describes a relaxed KHgOs2 crystal. The functional is PBE-GGA.

Unit cell a=2.8000 b=2.8000 c=10.7314 alpha=90.00 beta=90.00 gamma=117.85
Closest atoms and distances in Å follow each position.
Fractional coordinates of all 4 atoms:
1 Hg 0.5000 0.5000 0.2500  6 Hg 2.80-2.89, 4 Os 2.86
2 K 0.5000 0.5000 0.7500  6 K 2.80-2.89
3 Os 0.0000 0.0000 0.0203  6 Os 2.80-2.89, 2 Hg 2.86
4 Os 0.0000 0.0000 0.4797  6 Os 2.80-2.89, 2 Hg 2.86

Values from the calculation:
final energy: -0.174 Ha/atom

---

Entry 10:
This record from Alexandria via LeMat-Bulk describes a relaxed Ta2OsRu crystal. The functional is PBE-GGA.

Unit cell a=3.0615 b=3.0615 c=6.8814 alpha=90.00 beta=90.00 gamma=90.00
Closest atoms and distances in Å follow each position.
Fractional coordinates of all 4 atoms:
1 Ru 0.5000 0.5000 0.7500  8 Ta 2.76, 4 Ru 3.06
2 Os 0.5000 0.5000 0.2500  8 Ta 2.77, 4 Os 3.06
3 Ta 0.0000 0.0000 0.9998  4 Ru 2.76, 4 Os 2.77, 4 Ta 3.06
4 Ta 0.0000 0.0000 0.5002  4 Ru 2.76, 4 Os 2.77, 4 Ta 3.06

Values from the calculation:
ΔE to the lowest computed polymorph: 24 meV/atom

---

Entry 11:
This record from Alexandria via LeMat-Bulk describes a relaxed K2ReRu crystal. The functional is PBE-GGA.

Unit cell a=12.3095 b=12.3095 c=9.0108 alpha=46.92 beta=46.92 gamma=90.00
Closest atoms and distances in Å follow each position.
Fractional coordinates of all 8 atoms:
1 Re 0.0000 0.0000 0.0000  2 Ru 2.33
2 Re 0.7500 0.2500 0.5000  2 Ru 2.33
3 K 0.4475 0.1250 0.2500  2 Ru 3.26
4 K 0.3025 0.6250 0.2500  2 Ru 3.26
5 K 0.3750 0.5525 0.7500  2 Ru 3.26
6 K 0.8750 0.6975 0.7500  2 Ru 3.26
7 Ru 0.5000 0.5000 0.0000  2 Re 2.33
8 Ru 0.2500 0.7500 0.5000  2 Re 2.33

Values from the calculation:
ΔE to the lowest computed polymorph: 766 meV/atom

---

Entry 12:
This record from Alexandria via LeMat-Bulk describes a relaxed Pa5Nb crystal. The functional is PBE-GGA.

Unit cell a=3.1922 b=5.5612 c=8.4870 alpha=109.12 beta=90.00 gamma=90.00
Closest atoms and distances in Å follow each position.
Fractional coordinates of all 6 atoms:
1 Nb 0.0000 0.0000 0.0000  8 Pa 3.04-3.21, 2 Nb 3.19
2 Pa 0.0000 0.6672 0.3344  10 Pa 3.12-3.21
3 Pa 0.0000 0.3328 0.6656  10 Pa 3.12-3.21
4 Pa 0.5000 0.5000 0.0000  6 Pa 3.12-3.19, 4 Nb 3.21
5 Pa 0.5000 0.1616 0.3233  2 Nb 3.04, 8 Pa 3.18-3.21
6 Pa 0.5000 0.8384 0.6767  2 Nb 3.04, 8 Pa 3.18-3.21

Values from the calculation:
final energy: -0.350 Ha/atom

---

no.,M_tot (μB/f.u.)
1,0.00
2,0.00
3,9.01
4,0.00
5,8.77
6,0.13
7,1.43
8,0.00
9,0.00
10,0.00
11,3.37
12,0.00